# KScIr2

A relaxed KScIr2 crystal (GGA-PBE, Alexandria).

Properties
- Space-group type: P4mm (99)
- Crystal system: tetragonal
- Formation enthalpy at 0 K: 0.1987 eV/atom
- VASP energy: -6.09 eV/atom
- Energy above the most stable polymorph in this dataset: 231 meV per atom

a = 3.449 Å, b = 3.449 Å, c = 8.709 Å
α = 90.00°, β = 90.00°, γ = 90.02°
Positions (direct):
Sc 0.500 0.500 0.867
K 0.000 0.000 0.445
Ir 0.500 0.500 0.147
Ir 0.000 0.000 0.040